[1]
CdFeTc2: relaxed, PBE-GGA.

Results
Final energy ... -28.3 eV per cell
M_tot ... 0.397 μB/atom
DOS at the Fermi energy ... 0.838 states/eV per atom
ΔE_f ... 0.440 eV per atom

Lattice parameters (Å, degrees): 4.9627 4.9627 4.9627 135.14 135.14 65.32
Closest atoms and distances in Å follow each position.
Fractional positions:
Cd 0.2500 0.7500 0.5000  4 Fe 2.68, 8 Tc 2.82
Fe 0.7500 0.2500 0.5000  4 Cd 2.68, 8 Tc 2.82
Tc 0.0000 0.0000 0.0000  4 Tc 2.68, 4 Fe 2.82, 4 Cd 2.82
Tc 0.5000 0.5000 0.0000  4 Tc 2.68, 4 Cd 2.82, 4 Fe 2.82

---

[2]
CdFeTc2: relaxed, PBE-GGA.

Results
Final energy ... -28.1 eV per cell
M_tot ... 0.630 μB/atom
DOS at the Fermi energy ... 1.139 states/eV per atom
ΔE_f ... 0.511 eV per atom

Lattice parameters (Å, degrees): 5.0489 5.0489 2.6528 90.00 90.00 116.03
Closest atoms and distances in Å follow each position.
Fractional positions:
Cd 0.5000 0.0000 0.5000  2 Cd 2.65, 2 Fe 2.67, 8 Tc 2.85
Fe 0.0000 0.5000 0.5000  2 Fe 2.65, 2 Cd 2.67, 8 Tc 2.85
Tc 0.0000 0.0000 0.0000  4 Tc 2.65-2.67, 4 Fe 2.85, 4 Cd 2.85
Tc 0.5000 0.5000 0.0000  4 Tc 2.65-2.67, 4 Cd 2.85, 4 Fe 2.85

---

[3]
CdFeTc2: relaxed, PBE-GGA.

Results
Final energy ... -28.7 eV per cell
M_tot ... 0.545 μB/atom
DOS at the Fermi energy ... 0.869 states/eV per atom
ΔE_f ... 0.351 eV per atom

Lattice parameters (Å, degrees): 5.4943 5.4943 5.4943 150.39 131.44 57.92
Closest atoms and distances in Å follow each position.
Fractional positions:
Cd 0.7500 0.2500 0.5000  4 Fe 2.66, 2 Cd 2.81
Fe 0.2500 0.7500 0.5000  4 Tc 2.52, 4 Cd 2.66, 2 Fe 2.81
Tc 0.0324 0.0324 0.0000  2 Fe 2.52, 6 Tc 2.73-2.81
Tc 0.4676 0.4676 0.0000  2 Fe 2.52, 6 Tc 2.73-2.81

---

[4]
CdFeTc2: relaxed, PBE-GGA.

Results
Final energy ... -28.7 eV per cell
M_tot ... 0.473 μB/atom
DOS at the Fermi energy ... 0.839 states/eV per atom
ΔE_f ... 0.354 eV per atom

Lattice parameters (Å, degrees): 3.7870 2.7816 6.4726 64.54 90.00 90.00
Closest atoms and distances in Å follow each position.
Fractional positions:
Cd 0.5000 0.2500 0.2500  2 Cd 2.78, 2 Fe 2.92, 8 Tc 2.92
Fe 0.5000 0.7500 0.7500  8 Tc 2.63, 2 Fe 2.78, 2 Cd 2.92
Tc 0.0000 0.0481 0.9523  1 Tc 2.36, 4 Fe 2.63
Tc 0.0000 0.4519 0.5477  1 Tc 2.36, 4 Fe 2.63

---

[5]
CdFeTc2: relaxed, PBE-GGA.

Results
Final energy ... -28.5 eV per cell
M_tot ... 0.597 μB/atom
DOS at the Fermi energy ... 1.057 states/eV per atom
ΔE_f ... 0.392 eV per atom

Lattice parameters (Å, degrees): 4.7596 4.7596 4.9060 80.14 80.14 34.20
Closest atoms and distances in Å follow each position.
Fractional positions:
Cd 0.4969 0.4969 0.5151  3 Fe 2.75-2.81, 2 Cd 2.80, 7 Tc 2.82-2.94
Fe 0.7418 0.7418 0.7709  5 Tc 2.56-2.85, 3 Cd 2.75-2.81, 2 Fe 2.80
Tc 0.0039 0.0039 0.0122  5 Tc 2.64-2.80, 3 Fe 2.67-2.85, 4 Cd 2.82-2.83
Tc 0.2574 0.2574 0.2018  2 Fe 2.56, 5 Tc 2.64-2.80

---

[6]
CdFeTc2: relaxed, PBE-GGA.

Results
Final energy ... -28.2 eV per cell
M_tot ... 0.656 μB/atom
DOS at the Fermi energy ... 0.965 states/eV per atom
ΔE_f ... 0.470 eV per atom

Lattice parameters (Å, degrees): 3.7965 3.7965 4.1820 90.00 90.00 90.00
Closest atoms and distances in Å follow each position.
Fractional positions:
Cd 0.5000 0.0000 0.5000  4 Fe 2.68, 8 Tc 2.82
Fe 0.0000 0.5000 0.5000  4 Cd 2.68, 8 Tc 2.82
Tc 0.0000 0.0000 0.0000  4 Tc 2.68, 4 Cd 2.82, 4 Fe 2.82
Tc 0.5000 0.5000 0.0000  4 Tc 2.68, 4 Cd 2.82, 4 Fe 2.82

---

[7]
CdFeTc2: relaxed, PBE-GGA.

Results
Final energy ... -28.9 eV per cell
M_tot ... 0.692 μB/atom
DOS at the Fermi energy ... 0.906 states/eV per atom
ΔE_f ... 0.304 eV per atom

Lattice parameters (Å, degrees): 3.8242 2.8248 6.3867 63.95 90.00 90.00
Closest atoms and distances in Å follow each position.
Fractional positions:
Cd 0.0000 0.4836 0.5096  2 Cd 2.82, 4 Fe 2.83, 6 Tc 2.85-2.95
Fe 0.5000 0.7172 0.7767  5 Tc 2.47-2.77
Tc 0.0000 0.0241 0.0059  6 Tc 2.57-2.82, 4 Fe 2.67-2.77, 1 Cd 2.85
Tc 0.5000 0.2751 0.2078  1 Fe 2.47, 4 Tc 2.57-2.72

---

[8]
CdFeTc2: relaxed, PBE-GGA.

Results
Final energy ... -54.4 eV per cell
M_tot ... 0.000 μB/atom
DOS at the Fermi energy ... 1.363 states/eV per atom
ΔE_f ... 0.726 eV per atom

Lattice parameters (Å, degrees): 7.1088 7.1088 5.6415 50.95 50.95 90.00
Closest atoms and distances in Å follow each position.
Fractional positions:
Fe 0.5000 0.5000 0.0000  4 Tc 2.31, 2 Cd 2.56
Fe 0.2500 0.7500 0.5000  4 Tc 2.31, 2 Cd 2.56
Tc 0.5617 0.1250 0.2500  2 Fe 2.31
Tc 0.1883 0.6250 0.2500  2 Fe 2.31
Tc 0.3750 0.4383 0.7500  2 Fe 2.31
Tc 0.8750 0.8117 0.7500  2 Fe 2.31
Cd 0.0000 0.0000 0.0000  2 Fe 2.56
Cd 0.7500 0.2500 0.5000  2 Fe 2.56